Cd3Ag6Ge, optimized geometry, DFT PBE; DFT formation energy = 0.8 eV/f.u.; total magnetization = 0.0 μB per formula unit
1.0
-6.255 3.191 -3.359
2.620 -1.489 -6.293
-4.142 -6.063 -0.291
Cd Ag Ge
6 12 2
Direct
0.442 0.167 0.300 Cd
0.558 0.833 0.700 Cd
0.942 0.333 0.800 Cd
0.500 0.500 0.000 Cd
0.000 0.000 0.500 Cd
0.058 0.667 0.200 Cd
0.659 0.100 0.962 Ag
0.296 0.132 0.710 Ag
0.683 0.199 0.575 Ag
0.183 0.301 0.075 Ag
0.704 0.868 0.290 Ag
0.817 0.699 0.925 Ag
0.841 0.600 0.538 Ag
0.204 0.632 0.790 Ag
0.341 0.900 0.038 Ag
0.159 0.400 0.462 Ag
0.317 0.801 0.425 Ag
0.796 0.368 0.210 Ag
0.500 0.500 0.500 Ge
0.000 0.000 0.000 Ge